[1]
RhSe2O: optimized geometry, GGA-PBE.

## Properties
Raw formation energy: 463 meV/atom
DOS at the Fermi energy: 2.96 states/eV/f.u.
Symmetry: R-3m (166)
Crystal system: trigonal

a = 8.3790 Å, b = 8.3790 Å, c = 8.3790 Å
α = 20.20°, β = 20.20°, γ = 20.20°
Positions (direct):
Rh  0.0000  0.0000  0.0000
Se  0.0976  0.0976  0.0976
Se  0.9024  0.9024  0.9024
O  0.5000  0.5000  0.5000

=====

[2]
Rb2Na4Au2O: optimized geometry, GGA-PBE.

## Properties
Raw formation energy: -453 meV/atom
DOS at the Fermi energy: 3.07 states/eV/f.u.
Symmetry: I4/mmm (139)
Crystal system: tetragonal

a = 7.4574 Å, b = 7.4574 Å, c = 7.4574 Å
α = 123.89°, β = 123.89°, γ = 83.38°
Positions (direct):
Rb  0.2454  0.2454  0.0000
Rb  0.7546  0.7546  0.0000
Na  0.2274  0.2274  0.4547
Na  0.2274  0.7726  0.0000
Na  0.7726  0.2274  0.0000
Na  0.7726  0.7726  0.5453
Au  0.2500  0.7500  0.5000
Au  0.7500  0.2500  0.5000
O  0.0000  0.0000  0.0000

=====

[3]
Li2MgZnIn: optimized geometry, GGA-PBE.

## Properties
DOS at the Fermi energy: 0.76 states/eV/f.u.
Symmetry: P2_1/m (11)
Crystal system: monoclinic
E: -2.08 eV per atom

a = 5.6722 Å, b = 4.6225 Å, c = 7.1867 Å
α = 90.00°, β = 100.40°, γ = 90.00°
Positions (direct):
Li  0.1295  0.2500  0.0446
Li  0.3135  0.2500  0.4430
Li  0.6865  0.7500  0.5570
Li  0.8705  0.7500  0.9554
Mg  0.4442  0.7500  0.1497
Mg  0.5558  0.2500  0.8503
Zn  0.0532  0.7500  0.3251
Zn  0.9468  0.2500  0.6749
In  0.2393  0.7500  0.7239
In  0.7607  0.2500  0.2761

=====

[4]
ThMgNi4H6: optimized geometry, GGA-PBE.

## Properties
DOS at the Fermi energy: 3.48 states/eV/f.u.
Symmetry: P6/mmm (191)
Crystal system: hexagonal
E: -4.66 eV per atom

a = 4.4061 Å, b = 4.4061 Å, c = 6.6354 Å
α = 90.00°, β = 90.00°, γ = 120.00°
Positions (direct):
Th  0.0000  0.0000  0.0000
Mg  0.0000  0.0000  0.5000
Ni  0.3333  0.6667  0.3166
Ni  0.3333  0.6667  0.6834
Ni  0.6667  0.3333  0.3166
Ni  0.6667  0.3333  0.6834
H  0.0000  0.5000  0.1644
H  0.0000  0.5000  0.8356
H  0.5000  0.0000  0.1644
H  0.5000  0.0000  0.8356
H  0.5000  0.5000  0.1644
H  0.5000  0.5000  0.8356

=====

[5]
Nd2Zn3Sn: optimized geometry, GGA-PBE.

## Properties
Polymorph energy (0 for the lowest one): 0.0 meV/atom
DOS at the Fermi energy: 4.34 states/eV/f.u.
Symmetry: Fmmm (69)
Crystal system: orthorhombic

a = 9.2131 Å, b = 8.8428 Å, c = 5.9874 Å
α = 74.01°, β = 67.32°, γ = 38.66°
Positions (direct):
Nd  0.2422  0.7578  0.7578
Nd  0.2500  0.2500  0.2500
Nd  0.7500  0.7500  0.7500
Nd  0.7578  0.2422  0.2422
Zn  0.1617  0.1617  0.8383
Zn  0.1645  0.6758  0.3242
Zn  0.3242  0.8355  0.1645
Zn  0.6758  0.1645  0.8355
Zn  0.8355  0.3242  0.6758
Zn  0.8383  0.8383  0.1617
Sn  0.3346  0.3346  0.6654
Sn  0.6654  0.6654  0.3346

=====

[6]
B2HS3: optimized geometry, GGA-PBE.

## Properties
DOS at the Fermi energy: 0.94 states/eV/f.u.
Symmetry: C2/m (12)
Crystal system: monoclinic
E: -5.12 eV per atom

a = 9.5151 Å, b = 9.5151 Å, c = 7.1862 Å
α = 98.39°, β = 98.39°, γ = 18.15°
Positions (direct):
B  0.0489  0.0489  0.1383
B  0.3087  0.3087  0.7798
B  0.6913  0.6913  0.2202
B  0.9511  0.9511  0.8617
H  0.3111  0.3111  0.9498
H  0.6889  0.6889  0.0502
S  0.0534  0.0534  0.8731
S  0.2443  0.2443  0.3191
S  0.4069  0.4069  0.7201
S  0.5931  0.5931  0.2799
S  0.7557  0.7557  0.6809
S  0.9466  0.9466  0.1269

=====

[7]
MgAg2Cl: optimized geometry, GGA-PBE.

## Properties
Polymorph energy (0 for the lowest one): 333.1 meV/atom
Raw formation energy: -74 meV/atom
DOS at the Fermi energy: 1.32 states/eV/f.u.
Symmetry: I-4m2 (119)
Crystal system: tetragonal

a = 5.7774 Å, b = 5.7774 Å, c = 5.7774 Å
α = 139.30°, β = 139.30°, γ = 58.91°
Positions (direct):
Mg  0.0000  0.0000  0.0000
Ag  0.2500  0.7500  0.5000
Ag  0.5000  0.5000  0.0000
Cl  0.7500  0.2500  0.5000

=====

[8]
Y2TmTe: optimized geometry, GGA-PBE.

## Properties
Polymorph energy (0 for the lowest one): 114.1 meV/atom
Raw formation energy: -547 meV/atom
DOS at the Fermi energy: 5.41 states/eV/f.u.
Symmetry: R3m (160)
Crystal system: trigonal

a = 9.9331 Å, b = 9.9331 Å, c = 9.9331 Å
α = 22.56°, β = 22.56°, γ = 22.56°
Positions (direct):
Y  0.0000  0.0000  0.0000
Y  0.1879  0.1879  0.1879
Tm  0.7610  0.7610  0.7610
Te  0.5941  0.5941  0.5941